A plane-wave DFT calculation with GGA-PBE was carried out for an optimized crystal structure of CeNd3Y3.

Results
E ... -5.4392 eV/atom
Formation enthalpy at 0 K ... 222 meV/atom
Spin magnetization ... 1.29 μB per formula unit

Unit cell a=8.188 b=8.188 c=7.262 alpha=90.05 beta=90.05 gamma=89.29
Atoms (fractional coordinates):
1 Ce 0.213 0.213 0.000
2 Ce 0.787 0.787 0.000
3 Nd 0.002 0.500 0.754
4 Nd 0.500 0.002 0.754
5 Nd 0.500 0.500 0.250
6 Nd 0.500 0.500 0.750
7 Nd 0.500 0.998 0.246
8 Nd 0.998 0.500 0.246
9 Y 0.210 0.790 0.500
10 Y 0.215 0.785 0.000
11 Y 0.220 0.220 0.499
12 Y 0.780 0.780 0.501
13 Y 0.785 0.215 0.000
14 Y 0.790 0.210 0.500

---

A plane-wave DFT calculation with GGA-PBE was carried out for an optimized crystal structure of Tb3HfTl4Se8.

Results
E ... -5.0745 eV/atom
E_form (uncorrected) ... -1250 meV/atom
Spin magnetization ... 0.00 μB per formula unit

Unit cell a=9.213 b=9.213 c=9.213 alpha=52.86 beta=52.86 gamma=52.86
Atoms (fractional coordinates):
1 Tb 0.000 0.500 0.500
2 Tb 0.500 0.000 0.500
3 Tb 0.500 0.500 0.000
4 Hf 0.000 0.000 0.000
5 Tl 0.000 0.000 0.500
6 Tl 0.000 0.500 0.000
7 Tl 0.500 0.000 0.000
8 Tl 0.500 0.500 0.500
9 Se 0.224 0.224 0.752
10 Se 0.224 0.752 0.224
11 Se 0.248 0.776 0.776
12 Se 0.264 0.264 0.264
13 Se 0.736 0.736 0.736
14 Se 0.752 0.224 0.224
15 Se 0.776 0.248 0.776
16 Se 0.776 0.776 0.248

---

A plane-wave DFT calculation with GGA-PBE was carried out for an optimized crystal structure of LaTi2Mo.

Results
E ... -7.5426 eV/atom
Formation enthalpy at 0 K ... 345 meV/atom
Spin magnetization ... 0.00 μB per formula unit

Unit cell a=4.779 b=4.779 c=4.779 alpha=60.00 beta=60.00 gamma=60.00
Atoms (fractional coordinates):
1 La 0.000 0.000 0.000
2 Ti 0.250 0.250 0.250
3 Ti 0.750 0.750 0.750
4 Mo 0.500 0.500 0.500

---

A plane-wave DFT calculation with GGA-PBE was carried out for an optimized crystal structure of NaTbP2Pt2.

Results
E ... -5.7502 eV/atom
Formation enthalpy at 0 K ... -942 meV/atom
Spin magnetization ... 0.00 μB per formula unit

Unit cell a=4.038 b=4.038 c=8.543 alpha=90.00 beta=90.00 gamma=120.00
Atoms (fractional coordinates):
1 Na 0.000 0.000 0.000
2 Tb 0.000 0.000 0.500
3 P 0.333 0.667 0.272
4 P 0.667 0.333 0.728
5 Pt 0.333 0.667 0.741
6 Pt 0.667 0.333 0.259

---

A plane-wave DFT calculation with GGA-PBE was carried out for an optimized crystal structure of Er2MnSi.

Results
E ... -5.5589 eV/atom
E_form (uncorrected) ... 371 meV/atom
Spin magnetization ... 3.67 μB per formula unit

Unit cell a=10.106 b=10.106 c=10.106 alpha=19.32 beta=19.32 gamma=19.32
Atoms (fractional coordinates):
1 Er 0.098 0.098 0.098
2 Er 0.902 0.902 0.902
3 Mn 0.000 0.000 0.000
4 Si 0.500 0.500 0.500

---

A plane-wave DFT calculation with GGA-PBE was carried out for an optimized crystal structure of LiNdGa4Pt2.

Results
E ... -4.5957 eV/atom
Formation enthalpy at 0 K ... -737 meV/atom
Spin magnetization ... 0.00 μB per formula unit

Unit cell a=9.072 b=9.072 c=9.072 alpha=27.49 beta=27.49 gamma=27.49
Atoms (fractional coordinates):
1 Li 0.000 0.000 0.000
2 Nd 0.500 0.500 0.500
3 Ga 0.100 0.100 0.100
4 Ga 0.369 0.369 0.369
5 Ga 0.631 0.631 0.631
6 Ga 0.900 0.900 0.900
7 Pt 0.266 0.266 0.266
8 Pt 0.734 0.734 0.734